{
  "formula": "CeMgAg4",
  "functional": "GGA-PBE",
  "state": "optimized geometry",
  "formation_energy_ev_per_atom": -0.100,
  "de_polymorph_ev_per_atom": 0.039,
  "energy_ha_per_atom": -0.120,
  "lattice": [[-0.9202, -0.9624, -4.5556], [-1.6513, -2.8587, 3.4099], [-5.6497, 3.6940, 0.3609]],
  "species": ["Ce", "Mg", "Ag", "Ag", "Ag", "Ag"],
  "fractional_positions": [[0.0000, 0.0000, 0.5000], [0.0000, 0.0000, 0.0000], [0.3333, 0.6667, 0.2169], [0.3333, 0.6667, 0.7831], [0.6667, 0.3333, 0.2169], [0.6667, 0.3333, 0.7831]]
}